{"formula": "YTlCu", "functional": "SCAN", "state": "PBEsol geometry", "m_tot_mub_per_atom": 0.000, "formation_enthalpy_0k_ev_per_atom": -0.420, "crystal_system": "hexagonal", "lattice": [[3.5126, 0.0000, 0.0000], [0.0000, 4.5706, 0.0000], [0.0000, -2.2853, 3.9582]], "species": ["Y", "Tl", "Cu"], "fractional_positions": [[0.3334, 0.3333, 0.6667], [0.8334, 0.6667, 0.3333], [0.8333, 0.0000, 0.0000]]}